(1)
First-principles (PBE) data for an optimized crystal structure of La3Pm2Tm7, as listed in Alexandria via LeMat-Bulk.

a = 3.5459 Å, b = 6.3469 Å, c = 18.0209 Å
α = 103.97°, β = 90.00°, γ = 90.00°
Element x y z (fractional)
Tm1 0.0000 0.0000 0.0000
Tm2 0.5000 0.9410 0.1639
Tm3 0.5000 0.2485 0.5015
Tm4 0.5000 0.7515 0.4985
Tm5 0.5000 0.0590 0.8361
Tm6 0.0000 0.4348 0.1638
Tm7 0.0000 0.5652 0.8362
La1 0.0000 0.1153 0.6600
La2 0.0000 0.8847 0.3400
La3 0.5000 0.5000 0.0000
Pm1 0.5000 0.3774 0.3249
Pm2 0.5000 0.6226 0.6751

Summary:
Space-group type: P2/m, No. 10
DFT formation energy, eV per atom: 0.10

(2)
First-principles (PBE) data for an optimized crystal structure of LaPm4Tm, as listed in Alexandria via LeMat-Bulk.

a = 6.6987 Å, b = 6.6987 Å, c = 6.6987 Å
α = 60.00°, β = 60.00°, γ = 60.00°
Element x y z (fractional)
La1 0.2500 0.2500 0.2500
Pm1 0.6260 0.6260 0.6260
Pm2 0.6260 0.1221 0.6260
Pm3 0.1221 0.6260 0.6260
Pm4 0.6260 0.6260 0.1221
Tm1 0.0000 0.0000 0.0000

Summary:
Space-group type: F-43m, No. 216
DFT formation energy, eV per atom: 0.25
Polymorph energy (0 for the lowest one), eV/f.u.: 1.379

(3)
First-principles (PBE) data for an optimized crystal structure of LaPm4Tm5, as listed in Alexandria via LeMat-Bulk.

a = 3.5812 Å, b = 7.1301 Å, c = 13.8883 Å
α = 97.36°, β = 112.77°, γ = 89.97°
Element x y z (fractional)
Tm1 0.5000 0.5000 0.0000
Tm2 0.1077 0.6013 0.4051
Tm3 0.8942 0.8993 0.5962
Tm4 0.1058 0.1007 0.4038
Tm5 0.8923 0.3987 0.5949
Pm1 0.6918 0.2014 0.7947
Pm2 0.3075 0.3043 0.2051
Pm3 0.6925 0.6957 0.7949
Pm4 0.3082 0.7986 0.2053
La1 0.5000 0.0000 0.0000

Summary:
Space-group type: C2/m, No. 12
DFT formation energy, eV per atom: 0.02

(4)
First-principles (PBE) data for an optimized crystal structure of La8Pm2Tm3, as listed in Alexandria via LeMat-Bulk.

a = 5.7963 Å, b = 7.7466 Å, c = 11.0833 Å
α = 110.46°, β = 90.02°, γ = 90.00°
Element x y z (fractional)
Tm1 0.5000 0.0000 0.0000
Tm2 0.0000 0.2831 0.0000
Tm3 0.0000 0.7169 0.0000
Pm1 0.4990 0.2397 0.4794
Pm2 0.5010 0.7603 0.5206
La1 0.5003 0.4042 0.2061
La2 0.4997 0.1981 0.7939
La3 0.0003 0.8710 0.7419
La4 0.9997 0.1290 0.2581
La5 0.4997 0.5958 0.7939
La6 0.0008 0.6736 0.3471
La7 0.9992 0.3264 0.6529
La8 0.5003 0.8019 0.2061

Summary:
Space-group type: C2/m, No. 12
DFT formation energy, eV per atom: 0.17
Polymorph energy (0 for the lowest one), eV/f.u.: 0.296